Record 1
{"formula": "TbMn10B2", "functional": "GGA-PBE", "state": "optimized geometry", "lattice": [[-5.443, 1.437, -2.294], [-0.653, -6.037, -0.286], [-3.041, -0.013, 7.209]], "species": ["Tb", "Tb", "Mn", "Mn", "Mn", "Mn", "Mn", "Mn", "Mn", "Mn", "Mn", "Mn", "Mn", "Mn", "Mn", "Mn", "Mn", "Mn", "Mn", "Mn", "Mn", "Mn", "B", "B", "B", "B"], "frac_coords": [[0.880, 0.120, 0.750], [0.120, 0.880, 0.250], [0.388, 0.115, 0.750], [0.612, 0.885, 0.250], [0.885, 0.612, 0.750], [0.115, 0.388, 0.250], [0.529, 0.742, 0.750], [0.471, 0.258, 0.250], [0.258, 0.471, 0.750], [0.742, 0.529, 0.250], [0.821, 0.179, 0.402], [0.179, 0.821, 0.902], [0.821, 0.179, 0.098], [0.179, 0.821, 0.598], [0.614, 0.386, 0.940], [0.386, 0.614, 0.440], [0.614, 0.386, 0.560], [0.386, 0.614, 0.060], [0.777, 0.777, 0.000], [0.223, 0.223, 0.500], [0.223, 0.223, 0.000], [0.777, 0.777, 0.500], [0.500, 0.000, 0.000], [0.500, 0.000, 0.500], [0.000, 0.500, 0.500], [0.000, 0.500, 0.000]], "final_energy_ev_per_atom": -8.4952}

***

Record 2
{"formula": "PrBi2Rh5", "functional": "GGA-PBE", "state": "optimized geometry", "lattice": [[-1.923, -3.015, 1.734], [4.148, -2.403, 4.975], [-1.443, 2.010, 6.450]], "species": ["Pr", "Bi", "Bi", "Rh", "Rh", "Rh", "Rh", "Rh"], "frac_coords": [[0.000, 0.000, 0.000], [0.755, 0.745, 0.745], [0.245, 0.255, 0.255], [0.000, 0.500, 0.500], [0.624, 0.571, 0.181], [0.376, 0.429, 0.819], [0.376, 0.819, 0.429], [0.624, 0.181, 0.571]], "final_energy_ev_per_atom": -6.3477}

***

Record 3
{"formula": "Hf7P4", "functional": "GGA-PBE", "state": "optimized geometry", "lattice": [[8.074, 0.002, -0.002], [7.300, 3.449, -0.002], [3.600, 0.808, 14.208]], "species": ["Hf", "Hf", "Hf", "Hf", "Hf", "Hf", "Hf", "Hf", "Hf", "Hf", "Hf", "Hf", "Hf", "Hf", "P", "P", "P", "P", "P", "P", "P", "P"], "frac_coords": [[0.661, 0.661, 0.029], [0.339, 0.339, 0.971], [0.996, 0.996, 0.668], [0.004, 0.004, 0.332], [0.824, 0.824, 0.541], [0.176, 0.176, 0.459], [0.205, 0.205, 0.203], [0.795, 0.795, 0.797], [0.196, 0.196, 0.689], [0.804, 0.804, 0.311], [0.431, 0.431, 0.169], [0.569, 0.569, 0.831], [0.500, 0.500, 0.500], [0.000, 0.000, 0.000], [0.063, 0.063, 0.147], [0.937, 0.937, 0.853], [0.370, 0.370, 0.661], [0.630, 0.630, 0.339], [0.375, 0.375, 0.400], [0.625, 0.625, 0.600], [0.176, 0.176, 0.888], [0.824, 0.824, 0.112]], "final_energy_ev_per_atom": -9.3764}

***

Record 4
{"formula": "HoMgRu2", "functional": "GGA-PBE", "state": "optimized geometry", "lattice": [[3.365, 0.000, 0.000], [0.000, 3.365, 0.000], [0.000, 0.000, 6.239]], "species": ["Ru", "Ru", "Mg", "Ho"], "frac_coords": [[0.000, 0.000, 0.783], [0.000, 0.000, 0.217], [0.500, 0.500, 0.000], [0.500, 0.500, 0.500]], "final_energy_ev_per_atom": -6.2152}

***

Record 5
{"formula": "Dy2ThTa", "functional": "GGA-PBE", "state": "optimized geometry", "lattice": [[3.301, 0.000, 0.000], [1.650, 2.859, 0.000], [1.650, 0.953, 11.706]], "species": ["Dy", "Dy", "Th", "Ta"], "frac_coords": [[0.083, 0.083, 0.750], [0.917, 0.917, 0.250], [0.500, 0.500, 0.500], [0.000, 0.000, 0.000]], "final_energy_ev_per_atom": -6.5040}

***

Record 6
{"formula": "Dy3Ga2Ni3", "functional": "GGA-PBE", "state": "optimized geometry", "lattice": [[-0.414, -0.667, 5.548], [-0.677, -7.258, -0.924], [14.641, -1.481, 0.914]], "species": ["Dy", "Dy", "Dy", "Dy", "Dy", "Dy", "Dy", "Dy", "Dy", "Dy", "Dy", "Dy", "Ga", "Ga", "Ga", "Ga", "Ga", "Ga", "Ga", "Ga", "Ni", "Ni", "Ni", "Ni", "Ni", "Ni", "Ni", "Ni", "Ni", "Ni", "Ni", "Ni"], "frac_coords": [[0.152, 0.471, 0.395], [0.652, 0.029, 0.605], [0.848, 0.529, 0.895], [0.348, 0.971, 0.105], [0.848, 0.529, 0.605], [0.348, 0.971, 0.395], [0.152, 0.471, 0.105], [0.652, 0.029, 0.895], [0.611, 0.331, 0.250], [0.111, 0.169, 0.750], [0.389, 0.669, 0.750], [0.889, 0.831, 0.250], [0.854, 0.124, 0.397], [0.354, 0.376, 0.603], [0.146, 0.876, 0.897], [0.646, 0.624, 0.103], [0.146, 0.876, 0.603], [0.646, 0.624, 0.397], [0.854, 0.124, 0.103], [0.354, 0.376, 0.897], [0.095, 0.185, 0.250], [0.595, 0.315, 0.750], [0.905, 0.815, 0.750], [0.405, 0.685, 0.250], [0.581, 0.327, 0.465], [0.081, 0.173, 0.535], [0.419, 0.673, 0.965], [0.919, 0.827, 0.035], [0.419, 0.673, 0.535], [0.919, 0.827, 0.465], [0.581, 0.327, 0.035], [0.081, 0.173, 0.965]], "final_energy_ev_per_atom": -5.2128}

***

Record 7
{"formula": "ThSnAu4", "functional": "GGA-PBE", "state": "optimized geometry", "lattice": [[4.390, 0.000, 0.000], [0.000, 4.390, 0.000], [0.004, 0.006, 7.987]], "species": ["Th", "Sn", "Au", "Au", "Au", "Au"], "frac_coords": [[0.502, 0.496, 0.998], [0.001, 0.998, 0.498], [0.501, 0.997, 0.261], [0.501, 0.997, 0.735], [0.002, 0.498, 0.735], [0.001, 0.498, 0.261]], "polymorph_energy_mev_per_atom": 96, "final_energy_ev_per_atom": -4.3315}

***

Record 8
{"formula": "SrGaSi6Pt2", "functional": "GGA-PBE", "state": "optimized geometry", "lattice": [[-4.064, 1.557, -2.238], [-4.008, -2.808, -0.026], [-5.891, 4.066, 8.176]], "species": ["Sr", "Ga", "Si", "Si", "Si", "Si", "Si", "Si", "Pt", "Pt"], "frac_coords": [[0.000, 0.000, 0.000], [0.500, 0.500, 0.500], [0.262, 0.263, 0.706], [0.769, 0.262, 0.706], [0.737, 0.231, 0.294], [0.738, 0.737, 0.294], [0.231, 0.738, 0.294], [0.263, 0.769, 0.706], [0.737, 0.737, 0.789], [0.263, 0.263, 0.211]], "e_form_raw_ev_per_fu": 0.48, "final_energy_ev_per_atom": -4.8846}